## Ag2SnRh2 (GGA-PBE)

Data for a relaxed structure of Ag2SnRh2.

Cell: 6.604 6.604 4.233 Å, 90.00 90.00 90.00°
Fractional positions:
Rh 0.364 0.864 0.000
Rh 0.864 0.636 0.000
Rh 0.636 0.136 0.000
Rh 0.136 0.364 0.000
Sn 0.000 0.000 0.000
Sn 0.500 0.500 0.000
Ag 0.162 0.662 0.500
Ag 0.662 0.838 0.500
Ag 0.838 0.338 0.500
Ag 0.338 0.162 0.500

Calculated values
The total magnetization comes out at 0.000 μB per formula unit. The calculation puts the calculated density at 9.7 g/cm³. The volume comes out at 184.6 Å³ per cell. The energy of formation from the pure elements is 1.6 kJ/mol of atoms.